Entry 1:
Below is a relaxed Ac4BiTe3 crystal, with properties calculated at the PBE-GGA level. Values from VASP.

Cell and atoms, written as Quantum ESPRESSO input:
```
&SYSTEM
  ibrav = 0, nat = 8, ntyp = 3
/
ATOMIC_SPECIES
Ac 227.00 Ac.upf
Bi 208.98 Bi.upf
Te 127.60 Te.upf
CELL_PARAMETERS angstrom
-3.3691 3.3691 6.7547
3.3691 -3.3691 6.7547
3.3691 3.3691 -6.7547
ATOMIC_POSITIONS crystal
Ac 0.0000 0.5000 0.5000
Ac 0.2504 0.2504 0.0000
Ac 0.5000 0.0000 0.5000
Ac 0.7496 0.7496 0.0000
Bi 0.0000 0.0000 0.0000
Te 0.2500 0.7500 0.5000
Te 0.5000 0.5000 0.0000
Te 0.7500 0.2500 0.5000
```

Calculated values
space group	I4/mmm
D(E_F)	0.38	states/eV/atom

---

Entry 2:
Below is a relaxed TlZn2Mo crystal, with properties calculated at the PBE-GGA level. Values from VASP.

Cell and atoms, written as Quantum ESPRESSO input:
```
&SYSTEM
  ibrav = 0, nat = 4, ntyp = 3
/
ATOMIC_SPECIES
Tl 204.38 Tl.upf
Zn 65.41 Zn.upf
Mo 95.94 Mo.upf
CELL_PARAMETERS angstrom
2.8877 0.0000 0.0000
0.0000 4.3571 0.0000
-0.2978 0.0000 5.7230
ATOMIC_POSITIONS crystal
Tl 0.0000 0.0000 0.0000
Zn 0.9254 0.5000 0.3003
Zn 0.9777 0.0000 0.5276
Mo 0.4771 0.5000 0.7136
```

Calculated values
space group	Pm
D(E_F)	0.78	states/eV/atom

---

Entry 3:
Below is a relaxed GaBAs2Br crystal, with properties calculated at the PBE-GGA level. Values from VASP.

Cell and atoms, written as Quantum ESPRESSO input:
```
&SYSTEM
  ibrav = 0, nat = 5, ntyp = 4
/
ATOMIC_SPECIES
Ga 69.72 Ga.upf
B 10.81 B.upf
As 74.92 As.upf
Br 79.90 Br.upf
CELL_PARAMETERS angstrom
4.2181 0.0000 0.0000
0.0000 4.2181 0.0000
0.0000 0.0000 7.8303
ATOMIC_POSITIONS crystal
Ga 0.0000 0.0000 0.0000
B 0.5000 0.5000 0.5000
As 0.0000 0.5000 0.5000
As 0.5000 0.0000 0.5000
Br 0.5000 0.5000 0.0000
```

Calculated values
space group	P4/mmm
D(E_F)	0.77	states/eV/atom

---

Number 1: size of the total moment 0.0 μB/cell, raw total energy -5.106 eV per atom. Number 2: size of the total moment 0.0 μB/cell, raw total energy -3.500 eV per atom. Number 3: size of the total moment 0.0 μB/cell, raw total energy -3.541 eV per atom.